AlVIn2O6 GGA+U relaxed; SG = No. 146; calculated volume = 11.2 A^3/atom; electronic total energy = -6.646 eV/atom; crystal system = trigonal
1.0
5.283 -0.002 0.000
2.642 4.575 -0.001
2.643 1.526 4.637
In V O Al
2 1 6 1
Cartesian
2.642 1.526 4.188
5.284 3.049 1.877
2.642 1.524 0.246
4.168 4.754 1.272
7.318 3.164 1.272
4.366 1.231 1.272
3.672 3.282 3.523
6.291 4.330 3.522
5.889 1.537 3.523
7.926 4.574 2.557